Record 1
# PBE-GGA Y2BeAg, relaxed
# V (Å³/f.u.): 98
# Calculated formation energy (eV per atom): 0.149
# Uncorrected energy (eV/atom): -4.727
data_Y2BeAg
_symmetry_space_group_name_H-M 'C 1 2/m 1'
_symmetry_Int_Tables_number 12
_symmetry_space_group_name_Hall '-C 2y'
_cell_length_a 6.356
_cell_length_b 3.716
_cell_length_c 8.566
_cell_angle_alpha 90.00
_cell_angle_beta 104.79
_cell_angle_gamma 90.00
loop_
_atom_site_label
_atom_site_fract_x
_atom_site_fract_y
_atom_site_fract_z
Y1 0.242 0.000 0.225
Be1 0.000 0.500 0.000
Ag1 0.000 0.000 0.500


Record 2
# PBE-GGA Y2BeAg, relaxed
# V (Å³/f.u.): 89
# Calculated formation energy (eV per atom): 0.141
# Uncorrected energy (eV/atom): -4.735
data_Y2BeAg
_symmetry_space_group_name_H-M 'I -4 m 2'
_symmetry_Int_Tables_number 119
_symmetry_space_group_name_Hall 'I -4 -2'
_cell_length_a 4.229
_cell_length_b 4.229
_cell_length_c 9.970
_cell_angle_alpha 90.00
_cell_angle_beta 90.00
_cell_angle_gamma 90.00
loop_
_atom_site_label
_atom_site_fract_x
_atom_site_fract_y
_atom_site_fract_z
Y1 0.000 0.000 0.000
Y2 0.000 0.500 0.250
Be1 0.000 0.000 0.500
Ag1 0.000 0.500 0.750


Record 3
# PBE-GGA Y2BeAg, relaxed
# V (Å³/f.u.): 105
# Calculated formation energy (eV per atom): 0.592
# Uncorrected energy (eV/atom): -4.285
data_Y2BeAg
_symmetry_space_group_name_H-M 'I -4 2 d'
_symmetry_Int_Tables_number 122
_symmetry_space_group_name_Hall 'I -4 2bw'
_cell_length_a 4.704
_cell_length_b 4.704
_cell_length_c 18.936
_cell_angle_alpha 90.00
_cell_angle_beta 90.00
_cell_angle_gamma 90.00
loop_
_atom_site_label
_atom_site_fract_x
_atom_site_fract_y
_atom_site_fract_z
Y1 0.239 0.250 0.125
Be1 0.000 0.000 0.000
Ag1 0.000 0.000 0.500


Record 4
# PBE-GGA Y2BeAg, relaxed
# V (Å³/f.u.): 85
# Calculated formation energy (eV per atom): 0.303
# Uncorrected energy (eV/atom): -4.574
data_Y2BeAg
_symmetry_space_group_name_H-M 'F -4 3 m'
_symmetry_Int_Tables_number 216
_symmetry_space_group_name_Hall 'F -4 2 3'
_cell_length_a 6.992
_cell_length_b 6.992
_cell_length_c 6.992
_cell_angle_alpha 90.00
_cell_angle_beta 90.00
_cell_angle_gamma 90.00
loop_
_atom_site_label
_atom_site_fract_x
_atom_site_fract_y
_atom_site_fract_z
Y1 0.000 0.000 0.000
Y2 0.250 0.250 0.250
Be1 0.000 0.000 0.500
Ag1 0.250 0.250 0.750


Record 5
# PBE-GGA Y2BeAg, relaxed
# V (Å³/f.u.): 88
# Calculated formation energy (eV per atom): 0.002
# Uncorrected energy (eV/atom): -4.874
data_Y2BeAg
_symmetry_space_group_name_H-M 'C 1 m 1'
_symmetry_Int_Tables_number 8
_symmetry_space_group_name_Hall 'C -2y'
_cell_length_a 11.465
_cell_length_b 3.432
_cell_length_c 4.926
_cell_angle_alpha 90.00
_cell_angle_beta 115.35
_cell_angle_gamma 90.00
loop_
_atom_site_label
_atom_site_fract_x
_atom_site_fract_y
_atom_site_fract_z
Y1 0.000 0.000 0.000
Y2 0.208 0.000 0.707
Be1 0.252 0.500 0.251
Ag1 0.421 0.000 0.421


Record 6
# PBE-GGA Y2BeAg, relaxed
# V (Å³/f.u.): 92
# Calculated formation energy (eV per atom): -0.064
# Uncorrected energy (eV/atom): -4.941
data_Y2BeAg
_symmetry_space_group_name_H-M 'P 1 m 1'
_symmetry_Int_Tables_number 6
_symmetry_space_group_name_Hall 'P -2y'
_cell_length_a 3.777
_cell_length_b 4.503
_cell_length_c 5.559
_cell_angle_alpha 90.00
_cell_angle_beta 103.31
_cell_angle_gamma 90.00
loop_
_atom_site_label
_atom_site_fract_x
_atom_site_fract_y
_atom_site_fract_z
Y1 0.000 0.000 0.000
Y2 0.239 0.500 0.571
Be1 0.677 0.000 0.438
Ag1 0.568 0.500 0.148


Record 7
# PBE-GGA Y4BeAg, relaxed
# V (Å³/f.u.): 168
# Calculated formation energy (eV per atom): 0.743
# Uncorrected energy (eV/atom): -4.662
data_Y4BeAg
_symmetry_space_group_name_H-M 'F -4 3 m'
_symmetry_Int_Tables_number 216
_symmetry_space_group_name_Hall 'F -4 2 3'
_cell_length_a 8.753
_cell_length_b 8.753
_cell_length_c 8.753
_cell_angle_alpha 90.00
_cell_angle_beta 90.00
_cell_angle_gamma 90.00
loop_
_atom_site_label
_atom_site_fract_x
_atom_site_fract_y
_atom_site_fract_z
Y1 0.124 0.124 0.376
Be1 0.250 0.250 0.750
Ag1 0.000 0.000 0.000


Record 8
# PBE-GGA Y2BeAg2, relaxed
# V (Å³/f.u.): 112
# Calculated formation energy (eV per atom): 0.003
# Uncorrected energy (eV/atom): -4.468
data_Y2BeAg2
_symmetry_space_group_name_H-M 'P 4/m b m'
_symmetry_Int_Tables_number 127
_symmetry_space_group_name_Hall '-P 4 2ab'
_cell_length_a 7.251
_cell_length_b 7.251
_cell_length_c 4.257
_cell_angle_alpha 90.00
_cell_angle_beta 90.00
_cell_angle_gamma 90.00
loop_
_atom_site_label
_atom_site_fract_x
_atom_site_fract_y
_atom_site_fract_z
Y1 0.175 0.325 0.000
Be1 0.000 0.000 0.500
Ag1 0.136 0.636 0.500


Record 9
# PBE-GGA Be2ZnAg, relaxed
# V (Å³/f.u.): 49
# Calculated formation energy (eV per atom): 0.175
# Uncorrected energy (eV/atom): -2.719
data_Be2ZnAg
_symmetry_space_group_name_H-M 'C 1 m 1'
_symmetry_Int_Tables_number 8
_symmetry_space_group_name_Hall 'C -2y'
_cell_length_a 8.879
_cell_length_b 2.739
_cell_length_c 4.245
_cell_angle_alpha 90.00
_cell_angle_beta 109.63
_cell_angle_gamma 90.00
loop_
_atom_site_label
_atom_site_fract_x
_atom_site_fract_y
_atom_site_fract_z
Be1 0.000 0.000 0.000
Be2 0.213 0.500 0.271
Zn1 0.466 0.000 0.461
Ag1 0.246 0.000 0.803


Record 10
# PBE-GGA Be2ZnAg, relaxed
# V (Å³/f.u.): 55
# Calculated formation energy (eV per atom): 0.576
# Uncorrected energy (eV/atom): -2.318
data_Be2ZnAg
_symmetry_space_group_name_H-M 'I -4 2 d'
_symmetry_Int_Tables_number 122
_symmetry_space_group_name_Hall 'I -4 2bw'
_cell_length_a 6.578
_cell_length_b 6.578
_cell_length_c 5.049
_cell_angle_alpha 90.00
_cell_angle_beta 90.00
_cell_angle_gamma 90.00
loop_
_atom_site_label
_atom_site_fract_x
_atom_site_fract_y
_atom_site_fract_z
Be1 0.242 0.250 0.125
Zn1 0.000 0.000 0.000
Ag1 0.000 0.000 0.500


Record 11
# PBE-GGA Be2ZnAg, relaxed
# V (Å³/f.u.): 51
# Calculated formation energy (eV per atom): 0.326
# Uncorrected energy (eV/atom): -2.569
data_Be2ZnAg
_symmetry_space_group_name_H-M 'R -3 m'
_symmetry_Int_Tables_number 166
_symmetry_space_group_name_Hall '-R 3 2"'
_cell_length_a 2.7044
_cell_length_b 2.7044
_cell_length_c 24.0196
_cell_angle_alpha 90.00
_cell_angle_beta 90.00
_cell_angle_gamma 120.00
loop_
_atom_site_label
_atom_site_fract_x
_atom_site_fract_y
_atom_site_fract_z
Be1 0.0000 0.0000 0.2483
Zn1 0.0000 0.0000 0.5000
Ag1 0.0000 0.0000 0.0000


Record 12
# PBE-GGA BeZn3Ag, relaxed
# V (Å³/f.u.): 81
# Calculated formation energy (eV per atom): 0.304
# Uncorrected energy (eV/atom): -1.775
# Offset from the most stable computed form (eV per atom): 0.0000
data_BeZn3Ag
_symmetry_space_group_name_H-M 'P m -3 m'
_symmetry_Int_Tables_number 221
_symmetry_space_group_name_Hall '-P 4 2 3'
_cell_length_a 4.322
_cell_length_b 4.322
_cell_length_c 4.322
_cell_angle_alpha 90.00
_cell_angle_beta 90.00
_cell_angle_gamma 90.00
loop_
_atom_site_label
_atom_site_fract_x
_atom_site_fract_y
_atom_site_fract_z
Be1 0.000 0.000 0.000
Zn1 0.000 0.000 0.500
Ag1 0.500 0.500 0.500


Record 13
# PBE-GGA Be4ZnAg, relaxed
# V (Å³/f.u.): 63
# Calculated formation energy (eV per atom): 0.008
# Uncorrected energy (eV/atom): -3.164
data_Be4ZnAg
_symmetry_space_group_name_H-M 'F -4 3 m'
_symmetry_Int_Tables_number 216
_symmetry_space_group_name_Hall 'F -4 2 3'
_cell_length_a 6.308
_cell_length_b 6.308
_cell_length_c 6.308
_cell_angle_alpha 90.00
_cell_angle_beta 90.00
_cell_angle_gamma 90.00
loop_
_atom_site_label
_atom_site_fract_x
_atom_site_fract_y
_atom_site_fract_z
Be1 0.125 0.125 0.125
Zn1 0.250 0.250 0.750
Ag1 0.000 0.000 0.500


Record 14
# PBE-GGA BeZnAg4, relaxed
# V (Å³/f.u.): 112
# Calculated formation energy (eV per atom): 0.492
# Uncorrected energy (eV/atom): -2.242
data_BeZnAg4
_symmetry_space_group_name_H-M 'F -4 3 m'
_symmetry_Int_Tables_number 216
_symmetry_space_group_name_Hall 'F -4 2 3'
_cell_length_a 7.654
_cell_length_b 7.654
_cell_length_c 7.654
_cell_angle_alpha 90.00
_cell_angle_beta 90.00
_cell_angle_gamma 90.00
loop_
_atom_site_label
_atom_site_fract_x
_atom_site_fract_y
_atom_site_fract_z
Be1 0.000 0.000 0.000
Zn1 0.250 0.250 0.250
Ag1 0.125 0.125 0.625


Record 15
# PBE-GGA Be2ZnAg, relaxed
# V (Å³/f.u.): 48
# Calculated formation energy (eV per atom): 0.157
# Uncorrected energy (eV/atom): -2.737
data_Be2ZnAg
_symmetry_space_group_name_H-M 'P 4/m m m'
_symmetry_Int_Tables_number 123
_symmetry_space_group_name_Hall '-P 4 2'
_cell_length_a 3.969
_cell_length_b 3.969
_cell_length_c 3.053
_cell_angle_alpha 90.00
_cell_angle_beta 90.00
_cell_angle_gamma 90.00
loop_
_atom_site_label
_atom_site_fract_x
_atom_site_fract_y
_atom_site_fract_z
Be1 0.000 0.500 0.000
Zn1 0.000 0.000 0.500
Ag1 0.500 0.500 0.500


| no. | magnetic moment (μB per atom) |
| --- | --- |
| 1 | 0.00 |
| 2 | 0.00 |
| 3 | 0.00 |
| 4 | 0.21 |
| 5 | 0.00 |
| 6 | 0.00 |
| 7 | 0.00 |
| 8 | 0.00 |
| 9 | 0.00 |
| 10 | 0.00 |
| 11 | 0.00 |
| 12 | 0.00 |
| 13 | 0.00 |
| 14 | 0.00 |
| 15 | 0.00 |